SnC2S after structural relaxation, computed with PBE.

Results
As for the volume: 115 Å³ per cell. As for the energy above the most stable polymorph in this dataset: 0.000 eV/atom. For the uncorrected formation energy, the calculation gives 1.59 eV/atom. Its crystal system is tetragonal. As for the space group: I-42d. As for the size of the total moment: 0.000 μB per atom.

Cell and atoms, written as POSCAR:
```
SnC2S
1.0
-2.3250 2.3250 5.3231
2.3250 -2.3250 5.3231
2.3250 2.3250 -5.3231
Sn C S
2 4 2
Direct
0.0000 0.0000 0.0000 Sn
0.7500 0.2500 0.5000 Sn
0.1682 0.6250 0.0432 C
0.3750 0.4182 0.5432 C
0.5818 0.1250 0.9568 C
0.8750 0.8318 0.4568 C
0.2500 0.7500 0.5000 S
0.5000 0.5000 0.0000 S
```